SrLiCa2: relaxed, GGA-PBE.

Cell and atoms, written as POSCAR:
```
SrLiCa2
1.0
5.9733 0.0000 0.0000
0.0000 4.4019 0.0000
-0.0065 0.0000 6.1681
Sr Li Ca
1 1 2
direct
0.0000 0.0000 0.0000
0.5000 0.5000 0.0000
0.0000 0.5000 0.5000
0.5000 0.0000 0.5000
```

Properties
formation energy = 66 meV per atom
SG = P2/m (10)
DFT total energy = -1.8338 eV per atom
M_tot = 0.000 μB per atom